No. 1
! LaNdEr3Th | the Alexandria database | PBE-GGA | optimized geometry; values from VASP
! Energy relative to the elements in kJ/mol of formula units: 17
! Crystal system: monoclinic
&SYSTEM
  ibrav = 0, nat = 12, ntyp = 4
/
ATOMIC_SPECIES
La 138.91 La.upf
Nd 144.24 Nd.upf
Er 167.26 Er.upf
Th 232.04 Th.upf
ATOMIC_POSITIONS angstrom
La 0.898 0.471 2.914
La 2.693 7.154 6.988
Nd 0.898 -0.549 6.408
Nd 2.693 8.174 3.494
Er 2.693 9.239 0.107
Er 0.898 -1.614 9.795
Er 0.898 5.252 4.458
Er 2.693 2.373 5.444
Er 2.693 3.486 1.976
Er 0.898 4.139 7.926
Th 0.898 6.333 1.032
Th 2.693 1.292 8.870
CELL_PARAMETERS angstrom
3.590 0.000 0.000
0.000 10.789 -0.337
0.000 -3.164 10.239

No. 2
! La5Nd2ErTh | the Alexandria database | PBE-GGA | optimized geometry; values from VASP
! Energy relative to the elements in kJ/mol of formula units: 102
! Crystal system: orthorhombic
&SYSTEM
  ibrav = 0, nat = 18, ntyp = 4
/
ATOMIC_SPECIES
La 138.91 La.upf
Nd 144.24 Nd.upf
Er 167.26 Er.upf
Th 232.04 Th.upf
ATOMIC_POSITIONS angstrom
La -6.194 -3.726 -3.709
La -9.489 4.122 0.690
La -13.585 -1.038 -0.562
La -9.453 0.937 1.370
La -11.890 -0.334 -3.945
La -5.788 3.418 -0.205
La -6.790 -1.114 -0.913
La -1.872 3.411 -0.368
La -5.189 0.808 -2.999
La -0.088 0.024 0.029
Nd -11.800 2.129 -1.335
Nd -7.138 2.930 3.393
Nd -3.652 0.241 0.401
Nd -8.327 -0.550 -4.315
Er -1.843 1.018 -2.909
Er -10.134 -1.328 -1.007
Th -8.464 1.774 -1.844
Th -3.518 -2.081 -2.069
CELL_PARAMETERS angstrom
-0.152 4.052 -3.818
-8.235 -7.133 -3.181
-6.958 5.368 5.974

No. 3
! LaNdErTh2 | the Alexandria database | PBE-GGA | optimized geometry; values from VASP
! Energy relative to the elements in kJ/mol of formula units: 168
! Crystal system: orthorhombic
&SYSTEM
  ibrav = 0, nat = 10, ntyp = 4
/
ATOMIC_SPECIES
La 138.91 La.upf
Nd 144.24 Nd.upf
Er 167.26 Er.upf
Th 232.04 Th.upf
ATOMIC_POSITIONS angstrom
La -6.817 -0.215 -2.335
La -2.960 2.571 -1.918
Nd -6.114 2.657 -0.025
Nd -3.663 -0.301 -4.228
Er -4.425 0.063 0.469
Er -5.352 2.292 -4.722
Th -2.774 -2.091 -1.495
Th -3.529 -1.693 3.178
Th -5.112 -3.213 0.611
Th -1.191 -0.571 1.073
CELL_PARAMETERS angstrom
-3.166 -3.040 -5.135
-4.720 -2.264 4.251
-1.891 7.660 -3.369

No. 4
! La2NdEr5Th | the Alexandria database | PBE-GGA | optimized geometry; values from VASP
! Energy relative to the elements in kJ/mol of formula units: 239
! Crystal system: tetragonal
&SYSTEM
  ibrav = 0, nat = 18, ntyp = 4
/
ATOMIC_SPECIES
La 138.91 La.upf
Nd 144.24 Nd.upf
Er 167.26 Er.upf
Th 232.04 Th.upf
ATOMIC_POSITIONS angstrom
La 1.143 -2.922 -1.508
La 0.190 -0.127 -5.447
La 2.602 -6.583 -4.458
La 1.650 -3.788 -8.397
Nd -2.112 -5.386 -0.756
Nd -3.778 -0.720 -4.387
Er -1.401 -2.029 -7.161
Er -5.964 0.130 -2.292
Er -4.489 -4.076 2.018
Er -6.039 0.024 2.090
Er -4.414 -3.970 -2.364
Er 0.149 -6.130 -7.234
Er -1.476 -2.135 -2.779
Er 0.074 -6.236 -2.851
Er 1.396 -3.355 -4.952
Er 0.000 0.000 0.000
Th -3.643 -1.375 -0.095
Th -2.247 -4.730 -5.048
CELL_PARAMETERS angstrom
-0.270 1.311 -8.583
3.063 -8.021 -1.322
-8.682 0.604 4.762

- Which value of energy relative to the elements does entry 2 give?
  102 kJ/mol of formula units